Compound: FeReBO
Source: the Alexandria database
Functional: PBE with a Hubbard U
Structure: relaxed

Structure (extended XYZ):
```
4
Lattice="2.933 0.000 0.000 -1.467 2.540 0.000 0.000 0.000 6.125" Properties=species:S:1:pos:R:3 pbc="T T T"
Fe 0.000 0.000 0.000
Re 1.467 0.847 3.402
B 0.000 1.694 4.871
O 0.000 0.000 2.133
```

Computed properties:
Uncorrected energy in eV/atom: -7.437
Space group: P3m1
Distance to the lowest polymorph of the same formula in kJ/mol of atoms: 27.5